Entry 1:
A plane-wave DFT calculation with PBEsol was carried out for an optimized crystal structure of Mg3IrRu.

CIF file:
```
data_Mg3IrRu
_chemical_formula_sum 'Mg3 Ir1 Ru1'
_cell_length_a 4.781
_cell_length_b 4.781
_cell_length_c 4.781
_cell_angle_alpha 90.00
_cell_angle_beta 90.00
_cell_angle_gamma 90.00
_space_group_name_H-M_alt 'P 1'
_space_group_IT_number 1
_space_group_name_Hall 'P 1'
loop_
_atom_site_label
_atom_site_fract_x
_atom_site_fract_y
_atom_site_fract_z
_atom_site_occupancy
Mg1 0.000 0.000 0.500 1
Mg2 0.000 0.500 0.000 1
Mg3 0.500 0.000 0.000 1
Ir1 0.000 0.000 0.000 1
Ru1 0.500 0.500 0.500 1
```

***

Entry 2:
A plane-wave DFT calculation with PBEsol was carried out for an optimized crystal structure of ZrScRu2.

CIF file:
```
data_ZrScRu2
_chemical_formula_sum 'Zr1 Sc1 Ru2'
_cell_length_a 4.517
_cell_length_b 4.517
_cell_length_c 4.517
_cell_angle_alpha 60.00
_cell_angle_beta 60.00
_cell_angle_gamma 60.00
_space_group_name_H-M_alt 'P 1'
_space_group_IT_number 1
_space_group_name_Hall 'P 1'
loop_
_atom_site_label
_atom_site_fract_x
_atom_site_fract_y
_atom_site_fract_z
_atom_site_occupancy
Zr1 0.000 0.000 0.000 1
Sc1 0.500 0.500 0.500 1
Ru1 0.250 0.250 0.250 1
Ru2 0.750 0.750 0.750 1
```

***

Entry 3:
A plane-wave DFT calculation with PBEsol was carried out for an optimized crystal structure of USnAu.

CIF file:
```
data_USnAu
_chemical_formula_sum 'U2 Sn2 Au2'
_cell_length_a 5.013
_cell_length_b 5.013
_cell_length_c 5.735
_cell_angle_alpha 90.00
_cell_angle_beta 90.00
_cell_angle_gamma 120.00
_space_group_name_H-M_alt 'P 1'
_space_group_IT_number 1
_space_group_name_Hall 'P 1'
loop_
_atom_site_label
_atom_site_fract_x
_atom_site_fract_y
_atom_site_fract_z
_atom_site_occupancy
U1 0.000 0.000 0.000 1
U2 0.000 0.000 0.500 1
Sn1 0.333 0.667 0.250 1
Sn2 0.667 0.333 0.750 1
Au1 0.333 0.667 0.750 1
Au2 0.667 0.333 0.250 1
```

***

These records have energy of formation values of 4.557 -2.480 -0.525 eV/f.u., in the order they appear.